Below is a relaxed structure of AcSmS3, with properties calculated at the PBE-GGA level.

```
data_AcSmS3
_cell_length_a 4.1875
_cell_length_b 6.8617
_cell_length_c 9.0241
_cell_angle_alpha 90.00
_cell_angle_beta 90.00
_cell_angle_gamma 90.00
_symmetry_space_group_name_H-M 'P m m n'
_symmetry_Int_Tables_number 59
loop_
_symmetry_equiv_pos_as_xyz
'x,y,z'
'-x,-y,-z'
'-x+1/2,-y+1/2,z'
'x+1/2,y+1/2,-z'
'x+1/2,-y,-z'
'-x+1/2,y,z'
'-x,y+1/2,-z'
'x,-y+1/2,z'
loop_
_atom_site_label
_atom_site_fract_x
_atom_site_fract_y
_atom_site_fract_z
Ac1 0.2500 0.2500 0.1472
Sm1 0.2500 0.7500 0.4018
S1 0.2500 0.5160 0.6624
S2 0.2500 0.7500 0.0763
```

Computed properties:
ΔE to the lowest computed polymorph (eV/f.u.): 0.123

=====

Below is a relaxed structure of AcSm4S6, with properties calculated at the PBE-GGA level.

```
data_AcSm4S6
_cell_length_a 4.0285
_cell_length_b 13.2239
_cell_length_c 20.3802
_cell_angle_alpha 90.00
_cell_angle_beta 90.00
_cell_angle_gamma 90.00
_symmetry_space_group_name_H-M 'C m c m'
_symmetry_Int_Tables_number 63
_symmetry_space_group_name_Hall '-C 2c 2'
loop_
_atom_site_label
_atom_site_fract_x
_atom_site_fract_y
_atom_site_fract_z
Ac1 0.0000 0.1577 0.2500
Sm1 0.0000 0.0939 0.6251
Sm2 0.0000 0.3608 0.5396
S1 0.0000 0.0000 0.0000
S2 0.0000 0.1798 0.7500
S3 0.0000 0.2666 0.0903
S4 0.0000 0.4548 0.6641
```

=====

Below is a relaxed structure of AcSmS4, with properties calculated at the PBE-GGA level.

```
data_AcSmS4
_cell_length_a 10.0654
_cell_length_b 10.9501
_cell_length_c 7.3426
_cell_angle_alpha 90.00
_cell_angle_beta 129.11
_cell_angle_gamma 90.00
_symmetry_space_group_name_H-M 'C 1 2/c 1'
_symmetry_Int_Tables_number 15
_symmetry_space_group_name_Hall '-C 2yc'
loop_
_atom_site_label
_atom_site_fract_x
_atom_site_fract_y
_atom_site_fract_z
Ac1 0.0000 0.1263 0.2500
Sm1 0.0000 0.4823 0.7500
S1 0.1603 0.3230 0.6340
S2 0.2306 0.0678 0.7662
```

=====

Below is a relaxed structure of AcSm2S4, with properties calculated at the PBE-GGA level.

```
data_AcSm2S4
_cell_length_a 4.0477
_cell_length_b 13.3187
_cell_length_c 13.5673
_cell_angle_alpha 90.00
_cell_angle_beta 90.00
_cell_angle_gamma 90.00
_symmetry_space_group_name_H-M 'C m c m'
_symmetry_Int_Tables_number 63
_symmetry_space_group_name_Hall '-C 2c 2'
loop_
_atom_site_label
_atom_site_fract_x
_atom_site_fract_y
_atom_site_fract_z
Ac1 0.0000 0.1212 0.2500
Sm1 0.0000 0.3711 0.0650
S1 0.0000 0.0000 0.0000
S2 0.0000 0.2715 0.6190
S3 0.0000 0.4582 0.2500
```

=====

Below is a relaxed structure of Ac2SmS3, with properties calculated at the PBE-GGA level.

```
data_Ac2SmS3
_cell_length_a 8.4824
_cell_length_b 11.9166
_cell_length_c 25.0125
_cell_angle_alpha 90.00
_cell_angle_beta 90.00
_cell_angle_gamma 90.00
_symmetry_space_group_name_H-M 'F d d d'
_symmetry_Int_Tables_number 70
loop_
_symmetry_equiv_pos_as_xyz
'x,y,z'
'-x,-y,-z'
'-x+1/4,-y+1/4,z'
'x+1/4,y+1/4,-z'
'x,-y+1/4,-z+1/4'
'-x,y+1/4,z+1/4'
'-x+1/4,y,-z+1/4'
'x+1/4,-y,z+1/4'
'x,y+1/2,z+1/2'
'-x,-y+1/2,-z+1/2'
'-x+1/4,-y+3/4,z+1/2'
'x+1/4,y+3/4,-z+1/2'
'x,-y+3/4,-z+3/4'
'-x,y+3/4,z+3/4'
'-x+1/4,y+1/2,-z+3/4'
'x+1/4,-y+1/2,z+3/4'
'x+1/2,y,z+1/2'
'-x+1/2,-y,-z+1/2'
'-x+3/4,-y+1/4,z+1/2'
'x+3/4,y+1/4,-z+1/2'
'x+1/2,-y+1/4,-z+3/4'
'-x+1/2,y+1/4,z+3/4'
'-x+3/4,y,-z+3/4'
'x+3/4,-y,z+3/4'
'x+1/2,y+1/2,z'
'-x+1/2,-y+1/2,-z'
'-x+3/4,-y+3/4,z'
'x+3/4,y+3/4,-z'
'x+1/2,-y+3/4,-z+1/4'
'-x+1/2,y+3/4,z+1/4'
'-x+3/4,y+1/2,-z+1/4'
'x+3/4,-y+1/2,z+1/4'
loop_
_atom_site_label
_atom_site_fract_x
_atom_site_fract_y
_atom_site_fract_z
Ac1 0.1250 0.1250 0.0431
Ac2 0.1250 0.1250 0.3737
Sm1 0.1250 0.1250 0.5417
S1 0.1081 0.3750 0.8750
S2 0.1171 0.3678 0.7110
```

=====

Below is a relaxed structure of Ac3Sm4S8, with properties calculated at the PBE-GGA level.

```
data_Ac3Sm4S8
_cell_length_a 11.7327
_cell_length_b 11.7447
_cell_length_c 8.2180
_cell_angle_alpha 90.00
_cell_angle_beta 134.37
_cell_angle_gamma 90.00
_symmetry_space_group_name_H-M 'C 1 2/m 1'
_symmetry_Int_Tables_number 12
_symmetry_space_group_name_Hall '-C 2y'
loop_
_atom_site_label
_atom_site_fract_x
_atom_site_fract_y
_atom_site_fract_z
Ac1 0.0000 0.0000 0.0000
Ac2 0.2500 0.2500 0.5000
Sm1 0.0000 0.5000 0.0000
Sm2 0.0000 0.5000 0.5000
Sm3 0.2500 0.2500 0.0000
S1 0.0000 0.2568 0.0000
S2 0.0000 0.2572 0.5000
S3 0.2346 0.5000 0.4860
S4 0.2381 0.5000 0.9885
```

=====

Below is a relaxed structure of SrAc2SmS4, with properties calculated at the PBE-GGA level.

```
data_SrAc2SmS4
_cell_length_a 7.3120
_cell_length_b 4.1935
_cell_length_c 7.3291
_cell_angle_alpha 90.00
_cell_angle_beta 109.11
_cell_angle_gamma 90.00
_symmetry_space_group_name_H-M 'P 1 2/m 1'
_symmetry_Int_Tables_number 10
_symmetry_space_group_name_Hall '-P 2y'
loop_
_atom_site_label
_atom_site_fract_x
_atom_site_fract_y
_atom_site_fract_z
Sr1 0.0000 0.0000 0.0000
Ac1 0.0000 0.5000 0.5000
Ac2 0.5000 0.0000 0.5000
Sm1 0.5000 0.5000 0.0000
S1 0.2525 0.5000 0.2383
S2 0.2609 0.0000 0.7669
```

=====

Below is a relaxed structure of SrAc3Sm2S6, with properties calculated at the PBE-GGA level.

```
data_SrAc3Sm2S6
_cell_length_a 7.2485
_cell_length_b 12.5605
_cell_length_c 7.2962
_cell_angle_alpha 90.00
_cell_angle_beta 109.24
_cell_angle_gamma 90.00
_symmetry_space_group_name_H-M 'C 1 2/m 1'
_symmetry_Int_Tables_number 12
_symmetry_space_group_name_Hall '-C 2y'
loop_
_atom_site_label
_atom_site_fract_x
_atom_site_fract_y
_atom_site_fract_z
Sr1 0.0000 0.0000 0.0000
Ac1 0.0000 0.1646 0.5000
Ac2 0.0000 0.5000 0.5000
Sm1 0.0000 0.3329 0.0000
S1 0.2372 0.5000 0.2305
S2 0.2479 0.1698 0.2347
```

=====

Below is a relaxed structure of Sr3Ac3SmS8, with properties calculated at the PBE-GGA level.

```
data_Sr3Ac3SmS8
_cell_length_a 8.5417
_cell_length_b 8.5417
_cell_length_c 20.9568
_cell_angle_alpha 90.00
_cell_angle_beta 90.00
_cell_angle_gamma 120.00
_symmetry_space_group_name_H-M 'R -3 m'
_symmetry_Int_Tables_number 166
_symmetry_space_group_name_Hall '-R 3 2"'
loop_
_atom_site_label
_atom_site_fract_x
_atom_site_fract_y
_atom_site_fract_z
Sr1 0.0000 0.5000 0.0000
Ac1 0.0000 0.5000 0.5000
Sm1 0.0000 0.0000 0.5000
S1 0.0000 0.0000 0.2511
S2 0.0185 0.5093 0.2447
```

=====

Below is a relaxed structure of Ac3TbSm2S6, with properties calculated at the PBE-GGA level.

```
data_Ac3TbSm2S6
_cell_length_a 7.1005
_cell_length_b 12.3265
_cell_length_c 7.2901
_cell_angle_alpha 90.00
_cell_angle_beta 109.06
_cell_angle_gamma 90.00
_symmetry_space_group_name_H-M 'C 1 2/m 1'
_symmetry_Int_Tables_number 12
_symmetry_space_group_name_Hall '-C 2y'
loop_
_atom_site_label
_atom_site_fract_x
_atom_site_fract_y
_atom_site_fract_z
Ac1 0.0000 0.0000 0.0000
Ac2 0.0000 0.3317 0.0000
Tb1 0.0000 0.5000 0.5000
Sm1 0.0000 0.1666 0.5000
S1 0.2393 0.3356 0.7254
S2 0.2470 0.0000 0.7272
```

=====

Below is a relaxed structure of AcTb4SmS8, with properties calculated at the PBE-GGA level.

```
data_AcTb4SmS8
_cell_length_a 8.2084
_cell_length_b 8.2084
_cell_length_c 20.2344
_cell_angle_alpha 90.00
_cell_angle_beta 90.00
_cell_angle_gamma 120.00
_symmetry_space_group_name_H-M 'R 3 m'
_symmetry_Int_Tables_number 160
_symmetry_space_group_name_Hall 'R 3 -2"'
loop_
_atom_site_label
_atom_site_fract_x
_atom_site_fract_y
_atom_site_fract_z
Ac1 0.0000 0.0000 0.0000
Tb1 0.0000 0.0000 0.2512
Tb2 0.0057 0.5029 0.1264
Sm1 0.0000 0.0000 0.6233
S1 0.0000 0.0000 0.3825
S2 0.0000 0.0000 0.8604
S3 0.0368 0.5184 0.3821
S4 0.1732 0.3464 0.2051
```

=====

Below is a relaxed structure of Ac4TbSm3S8, with properties calculated at the PBE-GGA level.

```
data_Ac4TbSm3S8
_cell_length_a 8.2238
_cell_length_b 8.2238
_cell_length_c 20.6582
_cell_angle_alpha 90.00
_cell_angle_beta 90.00
_cell_angle_gamma 120.00
_symmetry_space_group_name_H-M 'R -3 m'
_symmetry_Int_Tables_number 166
_symmetry_space_group_name_Hall '-R 3 2"'
loop_
_atom_site_label
_atom_site_fract_x
_atom_site_fract_y
_atom_site_fract_z
Ac1 0.0000 0.0000 0.0000
Ac2 0.0000 0.5000 0.0000
Tb1 0.0000 0.0000 0.5000
Sm1 0.0000 0.5000 0.5000
S1 0.0000 0.0000 0.2428
S2 0.0040 0.5020 0.2419
```

=====

Below is a relaxed structure of Ac3TbSm3S8, with properties calculated at the PBE-GGA level.

```
data_Ac3TbSm3S8
_cell_length_a 8.1702
_cell_length_b 8.1702
_cell_length_c 20.7413
_cell_angle_alpha 90.00
_cell_angle_beta 90.00
_cell_angle_gamma 120.00
_symmetry_space_group_name_H-M 'R -3 m'
_symmetry_Int_Tables_number 166
_symmetry_space_group_name_Hall '-R 3 2"'
loop_
_atom_site_label
_atom_site_fract_x
_atom_site_fract_y
_atom_site_fract_z
Ac1 0.0000 0.5000 0.0000
Tb1 0.0000 0.0000 0.5000
Sm1 0.0000 0.5000 0.5000
S1 0.0000 0.0000 0.2432
S2 0.0046 0.5023 0.2424
```

=====

Below is a relaxed structure of AcTb2SmS4, with properties calculated at the PBE-GGA level.

```
data_AcTb2SmS4
_cell_length_a 6.9649
_cell_length_b 3.9871
_cell_length_c 7.1276
_cell_angle_alpha 90.00
_cell_angle_beta 108.77
_cell_angle_gamma 90.00
_symmetry_space_group_name_H-M 'P 1 2/m 1'
_symmetry_Int_Tables_number 10
_symmetry_space_group_name_Hall '-P 2y'
loop_
_atom_site_label
_atom_site_fract_x
_atom_site_fract_y
_atom_site_fract_z
Ac1 0.0000 0.0000 0.0000
Tb1 0.0000 0.5000 0.5000
Tb2 0.5000 0.0000 0.5000
Sm1 0.5000 0.5000 0.0000
S1 0.2526 0.0000 0.7347
S2 0.2657 0.5000 0.2720
```

=====

Below is a relaxed structure of AcTbSm2S6, with properties calculated at the PBE-GGA level.

```
data_AcTbSm2S6
_cell_length_a 7.1820
_cell_length_b 7.1820
_cell_length_c 18.8969
_cell_angle_alpha 90.00
_cell_angle_beta 90.00
_cell_angle_gamma 120.00
_symmetry_space_group_name_H-M 'R 3'
_symmetry_Int_Tables_number 146
_symmetry_space_group_name_Hall 'R 3'
loop_
_atom_site_label
_atom_site_fract_x
_atom_site_fract_y
_atom_site_fract_z
Ac1 0.0000 0.0000 0.0000
Tb1 0.0000 0.0000 0.4887
Sm1 0.0000 0.0000 0.2835
Sm2 0.0000 0.0000 0.7901
S1 0.0299 0.3599 0.5537
S2 0.0312 0.7307 0.3881
```

=====

Below is a relaxed structure of Ac3Tb3SmS8, with properties calculated at the PBE-GGA level.

```
data_Ac3Tb3SmS8
_cell_length_a 8.0839
_cell_length_b 8.0839
_cell_length_c 20.6707
_cell_angle_alpha 90.00
_cell_angle_beta 90.00
_cell_angle_gamma 120.00
_symmetry_space_group_name_H-M 'R -3 m'
_symmetry_Int_Tables_number 166
_symmetry_space_group_name_Hall '-R 3 2"'
loop_
_atom_site_label
_atom_site_fract_x
_atom_site_fract_y
_atom_site_fract_z
Ac1 0.0000 0.5000 0.0000
Tb1 0.0000 0.5000 0.5000
Sm1 0.0000 0.0000 0.5000
S1 0.0000 0.0000 0.2407
S2 0.0069 0.5034 0.7575
```

=====

Below is a relaxed structure of AcTbSm4S8, with properties calculated at the PBE-GGA level.

```
data_AcTbSm4S8
_cell_length_a 8.3160
_cell_length_b 8.3160
_cell_length_c 20.2684
_cell_angle_alpha 90.00
_cell_angle_beta 90.00
_cell_angle_gamma 120.00
_symmetry_space_group_name_H-M 'R 3 m'
_symmetry_Int_Tables_number 160
_symmetry_space_group_name_Hall 'R 3 -2"'
loop_
_atom_site_label
_atom_site_fract_x
_atom_site_fract_y
_atom_site_fract_z
Ac1 0.0000 0.0000 0.0000
Tb1 0.0000 0.0000 0.3769
Sm1 0.0000 0.0000 0.7512
Sm2 0.1694 0.3388 0.2081
S1 0.0000 0.0000 0.1387
S2 0.0000 0.0000 0.6195
S3 0.0216 0.5108 0.1257
S4 0.1860 0.3719 0.9555
```

=====

Below is a relaxed structure of AcSmTeS2, with properties calculated at the PBE-GGA level.

```
data_AcSmTeS2
_cell_length_a 4.6540
_cell_length_b 4.6540
_cell_length_c 14.4492
_cell_angle_alpha 90.00
_cell_angle_beta 90.00
_cell_angle_gamma 90.00
_symmetry_space_group_name_H-M 'I 4 m m'
_symmetry_Int_Tables_number 107
_symmetry_space_group_name_Hall 'I 4 -2'
loop_
_atom_site_label
_atom_site_fract_x
_atom_site_fract_y
_atom_site_fract_z
Ac1 0.0000 0.0000 0.0000
Sm1 0.0000 0.0000 0.7139
Te1 0.0000 0.0000 0.3650
S1 0.0000 0.5000 0.1187
```

=====

Below is a relaxed structure of Ac2SmThS4, with properties calculated at the PBE-GGA level.

```
data_Ac2SmThS4
_cell_length_a 7.1877
_cell_length_b 4.1355
_cell_length_c 7.2571
_cell_angle_alpha 90.00
_cell_angle_beta 109.15
_cell_angle_gamma 90.00
_symmetry_space_group_name_H-M 'P 1 2/m 1'
_symmetry_Int_Tables_number 10
_symmetry_space_group_name_Hall '-P 2y'
loop_
_atom_site_label
_atom_site_fract_x
_atom_site_fract_y
_atom_site_fract_z
Ac1 0.0000 0.0000 0.0000
Ac2 0.5000 0.5000 0.0000
Sm1 0.0000 0.5000 0.5000
Th1 0.5000 0.0000 0.5000
S1 0.2419 0.0000 0.7296
S2 0.2542 0.5000 0.2690
```

=====

Below is a relaxed structure of AcSmTl2S4, with properties calculated at the PBE-GGA level.

```
data_AcSmTl2S4
_cell_length_a 7.4238
_cell_length_b 4.2792
_cell_length_c 7.8687
_cell_angle_alpha 90.00
_cell_angle_beta 108.24
_cell_angle_gamma 90.00
_symmetry_space_group_name_H-M 'P 1 2/m 1'
_symmetry_Int_Tables_number 10
_symmetry_space_group_name_Hall '-P 2y'
loop_
_atom_site_label
_atom_site_fract_x
_atom_site_fract_y
_atom_site_fract_z
Ac1 0.0000 0.0000 0.0000
Sm1 0.5000 0.5000 0.0000
Tl1 0.0000 0.5000 0.5000
Tl2 0.5000 0.0000 0.5000
S1 0.2500 0.5000 0.2084
S2 0.2779 0.0000 0.7965
```

=====

| no. | raw formation energy (eV/atom) | total moment (Bohr magnetons per cell) | calculated density (kg/m³) |
| --- | --- | --- | --- |
| 1 | -2.108 | 0.000 | 6065 |
| 2 | -2.078 | 0.000 | 6245 |
| 3 | -1.568 | 0.000 | 5348 |
| 4 | -2.099 | 0.000 | 5957 |
| 5 | -2.000 | 0.000 | 7362 |
| 6 | -2.013 | 0.000 | 6314 |
| 7 | -2.010 | 0.000 | 6414 |
| 8 | -2.006 | 0.000 | 6681 |
| 9 | -2.076 | 0.000 | 5082 |
| 10 | -2.004 | 0.000 | 7341 |
| 11 | -1.931 | 0.001 | 5357 |
| 12 | -2.000 | 0.000 | 7306 |
| 13 | -2.044 | 0.000 | 6430 |
| 14 | -1.988 | 0.000 | 7296 |
| 15 | -2.056 | 0.000 | 5188 |
| 16 | -2.037 | 0.000 | 6663 |
| 17 | -1.926 | 0.001 | 5105 |
| 18 | -1.718 | 0.000 | 6039 |
| 19 | -1.949 | 0.000 | 7861 |
| 20 | -1.473 | 0.000 | 6396 |